(1)
Here is an optimized crystal structure of Y3Co7Si2 from Alexandria. Energies are from PBE-GGA.

The structure in extended XYZ format:
```
12
Lattice="0.0621 -0.4902 5.1418 4.2349 -1.7619 2.3755 4.0002 6.2839 3.1454" Properties=species:S:1:pos:R:3 pbc="T T T"
Y 0.0000 0.0000 0.0000
Y 5.3876 0.7357 7.7889
Y 2.9096 3.2962 2.8737
Co 4.1486 2.0159 5.3313
Co 2.7933 0.2858 6.4641
Co 4.8542 -0.3423 5.0980
Co 2.7627 0.5278 3.9248
Co 5.5038 3.7461 4.1985
Co 5.5345 3.5040 6.7379
Co 3.4430 4.3741 5.5647
Si 6.8596 4.7682 8.1556
Si 1.4376 -0.7363 2.5071
```

Computed properties:
total DFT energy (no corrections)	-85.229	eV for the cell shown
uncorrected formation energy	-5.2	eV/f.u.

***

(2)
Here is an optimized crystal structure of Y2CoSi from Alexandria. Energies are from PBE-GGA.

The structure in extended XYZ format:
```
8
Lattice="3.5374 0.0440 9.5487 -3.7006 3.1545 -8.9469 -4.8604 -0.5872 1.8033" Properties=species:S:1:pos:R:3 pbc="T T T"
Y -4.2138 1.3681 0.4089
Y -0.8097 1.2432 1.9961
Y -2.3787 0.5794 5.0983
Y -2.6448 2.0318 -2.6933
Co -5.1935 1.7891 -2.0945
Co 0.1700 0.8221 4.4995
Si -6.9086 2.5262 -6.4771
Si 1.8850 0.0851 8.8822
```

Computed properties:
total DFT energy (no corrections)	-51.286	eV for the cell shown
uncorrected formation energy	-0.2	eV/f.u.

***

(3)
Here is an optimized crystal structure of Y2Co2Si3 from Alexandria. Energies are from PBE-GGA.

The structure in extended XYZ format:
```
14
Lattice="3.9355 0.0000 -0.9383 0.0000 6.6367 0.0000 0.0208 0.0000 8.8100" Properties=species:S:1:pos:R:3 pbc="T T T"
Y 0.6342 1.6592 2.6601
Y 3.3221 4.9775 5.2117
Y 3.7401 1.6592 6.9648
Y 0.2162 4.9775 0.9070
Co 2.7372 6.2599 2.7582
Co 1.2191 0.3767 5.1136
Co 1.2191 2.9416 5.1136
Co 2.7372 3.6951 2.7582
Si 0.8890 4.9775 3.7290
Si 3.0673 1.6592 4.1427
Si 2.2246 2.8731 0.6083
Si 1.7317 3.7636 7.2634
Si 1.7317 6.1914 7.2634
Si 2.2246 0.4452 0.6083
```

Computed properties:
total DFT energy (no corrections)	-96.645	eV for the cell shown
uncorrected formation energy	-4.9	eV/f.u.

***

> uncorrected formation energy of number 3 (Y2Co2Si3)?

-4.9 eV/f.u.

***

> Among the records above, which one has the lowest total DFT energy (no corrections)?

Y2Co2Si3

***

> The highest total DFT energy (no corrections) belongs to which entry?

Y2CoSi